Entry P
# NiIrBr2

A relaxed NiIrBr2 crystal (PBE, Alexandria).

Geometry as POSCAR:
```
NiIrBr2
1.0
1.911 -3.045 0.000
1.911 3.045 0.000
0.000 0.000 8.110
Ni Ir Br
1 1 2
direct
0.000 0.000 0.000 Ni
0.500 0.500 0.836 Ir
0.000 0.000 0.622 Br
0.500 0.500 0.178 Br
```

Entry Q
# NiIrBr2

A relaxed NiIrBr2 crystal (PBE, Alexandria).

Geometry as POSCAR:
```
NiIrBr2
1.0
3.103 0.000 0.000
0.000 4.055 0.000
0.000 0.000 6.263
Ni Ir Br
1 1 2
direct
0.000 0.000 0.000 Ni
0.500 0.000 0.500 Ir
0.000 0.500 0.500 Br
0.500 0.500 0.000 Br
```

Going by the energies, entry P is most stable and the next is 397 meV per atom up.